(1)
# SiBrN2

A relaxed SiBrN2 crystal (GGA-PBE, Alexandria).

a b c (Å): 4.037 4.037 4.037
angles (deg): 60.00 60.00 60.00
Fractional coordinates of all 4 atoms:
N: 0.750 0.750 0.750
N: 0.250 0.250 0.250
Br: 0.500 0.500 0.500
Si: 0.000 0.000 0.000

Computed properties:
The value obtained for the energy above the most stable polymorph in this dataset is 2013 meV per atom. The value obtained for the total magnetic moment is 0.000 Bohr magnetons per cell. The calculated total energy comes out at -14.6 eV per cell. For the formation energy without anion corrections, the calculation gives 2285 meV/atom.

=====

(2)
# SiBrN2

A relaxed SiBrN2 crystal (GGA-PBE, Alexandria).

a b c (Å): 5.938 5.938 5.938
angles (deg): 38.42 38.42 38.42
Fractional coordinates of all 4 atoms:
Br: 0.500 0.500 0.500
Si: 0.000 0.000 0.000
N: 0.899 0.899 0.899
N: 0.101 0.101 0.101

Computed properties:
The value obtained for the energy above the most stable polymorph in this dataset is 1373 meV per atom. The value obtained for the total magnetic moment is 0.000 Bohr magnetons per cell. The calculated total energy comes out at -17.2 eV per cell. For the formation energy without anion corrections, the calculation gives 1644 meV/atom.